SCAN Rb2Cr2O7, single point on PBEsol structure; spin magnetization = 0.0 μB/cell; DFT total energy = -0.48310 hartree per atom
1.0
6.6606 -3.7948 0.0000
6.6606 3.7948 0.0000
-0.1400 0.0000 7.6707
Rb Cr O
4 4 14
direct
0.0034 0.2904 0.3523
0.2904 0.0034 0.8523
0.7096 0.9966 0.1477
0.9966 0.7096 0.6477
0.2277 0.5704 0.1410
0.4296 0.7723 0.3590
0.5704 0.2277 0.6410
0.7723 0.4296 0.8590
0.0482 0.6331 0.2807
0.1421 0.7400 0.9891
0.2600 0.8579 0.5109
0.2996 0.3480 0.0618
0.3480 0.2996 0.5618
0.3669 0.9518 0.2193
0.4349 0.5651 0.2500
0.5651 0.4349 0.7500
0.6331 0.0482 0.7807
0.6520 0.7004 0.4382
0.7004 0.6520 0.9382
0.7400 0.1421 0.4891
0.8579 0.2600 0.0109
0.9518 0.3669 0.7193